Hf2TiH PBE-GGA optimized geometry; E above lowest polymorph = 275.0 meV/atom; E = -7.618 eV per atom
1.0
3.035 0.000 0.000
1.517 2.628 0.000
1.517 0.876 8.200
H Hf Ti
1 2 1
direct
0.500 0.500 0.500
0.112 0.112 0.665
0.888 0.888 0.335
0.000 0.000 0.000


Pr3Ho4In PBE-GGA optimized geometry; E above lowest polymorph = 0.0 meV/atom; E = -4.533 eV per atom
1.0
-1.023 -3.454 -5.117
-5.570 -3.107 3.211
-6.847 8.065 -4.075
Pr In Ho
6 2 8
direct
0.973 0.616 0.763
0.473 0.384 0.737
0.625 0.628 0.000
0.125 0.372 0.500
0.973 0.616 0.237
0.473 0.384 0.263
0.653 0.643 0.500
0.153 0.357 0.000
0.648 0.128 0.000
0.167 0.883 0.000
0.667 0.117 0.500
0.148 0.872 0.500
0.988 0.123 0.239
0.488 0.877 0.739
0.488 0.877 0.261
0.988 0.123 0.761


Ca2CrPt PBE-GGA optimized geometry; E above lowest polymorph = 120.7 meV/atom; E = -5.022 eV per atom
1.0
-3.264 1.203 -1.040
-1.573 -2.801 1.693
-0.482 3.940 6.070
Ca Pt Cr
2 1 1
direct
0.000 0.000 0.974
0.000 0.000 0.526
0.500 0.500 0.750
0.500 0.500 0.250